# 1
{
  "formula": "La3Ga2CuPd9",
  "functional": "PBE",
  "state": "relaxed",
  "cell": [[-1.915, -3.113, -6.504], [-3.695, -1.796, 6.227], [-4.231, 4.898, -1.098]],
  "species": ["La", "Pd", "La", "Pd", "La", "Pd", "Cu", "Pd", "Pd", "Pd", "Pd", "Ga", "Pd", "Ga", "Pd"],
  "frac_coords": [[0.333, 0.667, 0.662], [0.168, 0.335, 0.336], [0.667, 0.333, 0.338], [0.832, 0.168, 0.664], [0.000, 0.000, 0.000], [0.335, 0.168, 0.664], [0.000, 0.000, 0.500], [0.832, 0.665, 0.664], [0.500, 0.500, 0.000], [0.000, 0.500, 0.000], [0.168, 0.832, 0.336], [0.667, 0.333, 0.833], [0.665, 0.832, 0.336], [0.333, 0.667, 0.167], [0.500, 0.000, 0.000]],
  "dos_at_fermi_per_ev_fu": 6.6,
  "mass_density_g_cm3": 8.3,
  "ef_kj_per_mol_atoms": -47.1
}


# 2
{
  "formula": "La2Pm2Ga4Cu",
  "functional": "PBE",
  "state": "relaxed",
  "cell": [[-2.719, 1.172, -6.005], [-2.643, -5.101, 3.439], [-0.961, 4.766, 4.604]],
  "species": ["Cu", "La", "Pm", "Ga", "Ga", "Ga", "Ga", "La", "Pm"],
  "frac_coords": [[0.000, 0.000, 0.000], [0.500, 0.750, 0.250], [0.000, 0.315, 0.315], [0.472, 0.236, 0.236], [0.000, 0.236, 0.764], [0.000, 0.764, 0.236], [0.528, 0.764, 0.764], [0.500, 0.250, 0.750], [0.000, 0.685, 0.685]],
  "dos_at_fermi_per_ev_fu": 8.4,
  "mass_density_g_cm3": 6.8,
  "ef_kj_per_mol_atoms": -37.6
}


# 3
{
  "formula": "LaPmGaCu",
  "functional": "PBE",
  "state": "relaxed",
  "cell": [[-0.228, -1.943, -4.828], [2.080, -4.663, -1.032], [-3.095, -4.062, -1.029]],
  "species": ["Pm", "Ga", "Cu", "La"],
  "frac_coords": [[0.000, 0.000, 0.000], [0.750, 0.750, 0.750], [0.250, 0.250, 0.250], [0.500, 0.500, 0.500]],
  "dos_at_fermi_per_ev_fu": 4.4,
  "mass_density_g_cm3": 6.9,
  "ef_kj_per_mol_atoms": -33.1
}


# 4
{
  "formula": "LaPm2Ga2Cu2",
  "functional": "PBE",
  "state": "relaxed",
  "cell": [[-3.870, -2.157, 0.721], [-0.334, -4.380, -0.924], [1.389, -4.246, 8.727]],
  "species": ["Cu", "Cu", "Ga", "Pm", "Ga", "La", "Pm"],
  "frac_coords": [[0.403, 0.403, 0.792], [0.597, 0.597, 0.208], [0.261, 0.261, 0.218], [0.875, 0.875, 0.375], [0.739, 0.739, 0.782], [0.000, 0.000, 0.000], [0.125, 0.125, 0.625]],
  "dos_at_fermi_per_ev_fu": 5.3,
  "mass_density_g_cm3": 7.0,
  "ef_kj_per_mol_atoms": -37.3
}


# 5
{
  "formula": "La2PrGa2Cu2",
  "functional": "PBE",
  "state": "relaxed",
  "cell": [[4.473, 0.000, 0.000], [2.237, 3.874, 0.000], [2.237, 1.291, 9.468]],
  "species": ["Ga", "Cu", "Ga", "Cu", "La", "Pr", "La"],
  "frac_coords": [[0.735, 0.735, 0.795], [0.399, 0.399, 0.803], [0.265, 0.265, 0.205], [0.601, 0.601, 0.197], [0.128, 0.128, 0.615], [0.000, 0.000, 0.000], [0.872, 0.872, 0.385]],
  "dos_at_fermi_per_ev_fu": 5.6,
  "mass_density_g_cm3": 6.9,
  "ef_kj_per_mol_atoms": -37.2
}


# 6
{
  "formula": "LaGaCuPt3",
  "functional": "PBE",
  "state": "relaxed",
  "cell": [[5.764, 0.000, 0.000], [0.000, 6.790, 0.000], [0.000, -3.395, 5.959]],
  "species": ["Pt", "Ga", "Pt", "Pt", "Cu", "Cu", "Pt", "La", "La", "Pt", "Ga", "Pt"],
  "frac_coords": [[0.250, 0.169, 0.338], [0.750, 0.628, 0.256], [0.750, 0.831, 0.662], [0.000, 0.290, 0.000], [0.250, 0.952, 0.905], [0.750, 0.048, 0.095], [0.500, 0.290, 0.000], [0.750, 0.285, 0.571], [0.250, 0.715, 0.429], [0.500, 0.710, 0.000], [0.250, 0.372, 0.744], [0.000, 0.710, 0.000]],
  "dos_at_fermi_per_ev_fu": 3.6,
  "mass_density_g_cm3": 12.2,
  "ef_kj_per_mol_atoms": -57.2
}